Zn3CuSb | PBE | relaxed

Output
Relative energy among the computed polymorphs   0 meV per atom
Uncorrected formation energy   1.556 eV per formula unit
Space-group type   Pm-3m, No. 221

Unit cell a=4.650 b=4.650 c=4.650 alpha=90.00 beta=90.00 gamma=90.00
Fractional positions:
1 Zn 0.000 0.000 0.500
2 Zn 0.000 0.500 0.000
3 Zn 0.500 0.000 0.000
4 Cu 0.000 0.000 0.000
5 Sb 0.500 0.500 0.500

ZnCuSb2 | PBE | relaxed

Output
Uncorrected formation energy   0.885 eV per formula unit
Space-group type   Cmmm, No. 65

Unit cell a=4.033 b=5.186 c=8.101 alpha=90.00 beta=90.00 gamma=90.00
Fractional positions:
1 Zn 0.000 0.000 0.000
2 Zn 0.500 0.500 0.000
3 Cu 0.000 0.000 0.500
4 Cu 0.500 0.500 0.500
5 Sb 0.000 0.500 0.271
6 Sb 0.000 0.500 0.729
7 Sb 0.500 0.000 0.271
8 Sb 0.500 0.000 0.729

ZnCuSb2 | PBE | relaxed

Output
Uncorrected formation energy   0.924 eV per formula unit
Space-group type   I-42d, No. 122

Unit cell a=6.126 b=6.126 c=11.458 alpha=90.00 beta=90.00 gamma=90.00
Fractional positions:
1 Zn 0.000 0.000 0.000
2 Zn 0.000 0.500 0.250
3 Zn 0.500 0.000 0.750
4 Zn 0.500 0.500 0.500
5 Cu 0.000 0.000 0.500
6 Cu 0.000 0.500 0.750
7 Cu 0.500 0.000 0.250
8 Cu 0.500 0.500 0.000
9 Sb 0.230 0.250 0.625
10 Sb 0.250 0.730 0.875
11 Sb 0.250 0.770 0.375
12 Sb 0.270 0.250 0.125
13 Sb 0.730 0.750 0.125
14 Sb 0.750 0.230 0.375
15 Sb 0.750 0.270 0.875
16 Sb 0.770 0.750 0.625

Zn2Cu2Sb | PBE | relaxed

Output
Relative energy among the computed polymorphs   83 meV per atom
Uncorrected formation energy   0.810 eV per formula unit
Space-group type   I4/mmm, No. 139

Unit cell a=3.725 b=3.725 c=12.162 alpha=90.00 beta=90.00 gamma=90.00
Fractional positions:
1 Zn 0.000 0.000 0.107
2 Zn 0.000 0.000 0.893
3 Zn 0.500 0.500 0.393
4 Zn 0.500 0.500 0.607
5 Cu 0.000 0.500 0.250
6 Cu 0.000 0.500 0.750
7 Cu 0.500 0.000 0.250
8 Cu 0.500 0.000 0.750
9 Sb 0.000 0.000 0.500
10 Sb 0.500 0.500 0.000

ZnCuSb2 | PBE | relaxed

Output
Uncorrected formation energy   1.018 eV per formula unit
Space-group type   C2/m, No. 12

Unit cell a=6.446 b=7.866 c=3.475 alpha=90.00 beta=105.87 gamma=90.00
Fractional positions:
1 Zn 0.000 0.000 0.000
2 Zn 0.500 0.500 0.000
3 Cu 0.000 0.500 0.000
4 Cu 0.500 0.000 0.000
5 Sb 0.250 0.250 0.500
6 Sb 0.250 0.750 0.500
7 Sb 0.750 0.250 0.500
8 Sb 0.750 0.750 0.500

ZnCuSb2 | PBE | relaxed

Output
Uncorrected formation energy   1.105 eV per formula unit
Space-group type   Cmmm, No. 65

Unit cell a=6.504 b=7.755 c=3.286 alpha=90.00 beta=90.00 gamma=90.00
Fractional positions:
1 Zn 0.000 0.000 0.000
2 Zn 0.500 0.500 0.000
3 Cu 0.000 0.500 0.000
4 Cu 0.500 0.000 0.000
5 Sb 0.250 0.250 0.500
6 Sb 0.250 0.750 0.500
7 Sb 0.750 0.250 0.500
8 Sb 0.750 0.750 0.500

ZnCuSb2 | PBE | relaxed

Output
Uncorrected formation energy   0.502 eV per formula unit
Space-group type   Pmm2, No. 25

Unit cell a=3.146 b=3.762 c=7.511 alpha=90.00 beta=90.00 gamma=90.00
Fractional positions:
1 Zn 0.000 0.000 0.000
2 Cu 0.500 0.500 0.165
3 Sb 0.000 0.000 0.364
4 Sb 0.500 0.500 0.794

Zn2Cu2Sb | PBE | relaxed

Output
Relative energy among the computed polymorphs   23 meV per atom
Uncorrected formation energy   0.510 eV per formula unit
Space-group type   P4/mbm, No. 127

Unit cell a=7.336 b=7.336 c=3.006 alpha=90.00 beta=90.00 gamma=90.00
Fractional positions:
1 Zn 0.161 0.339 0.000
2 Zn 0.339 0.839 0.000
3 Zn 0.661 0.161 0.000
4 Zn 0.839 0.661 0.000
5 Cu 0.131 0.631 0.500
6 Cu 0.369 0.131 0.500
7 Cu 0.631 0.869 0.500
8 Cu 0.869 0.369 0.500
9 Sb 0.000 0.000 0.500
10 Sb 0.500 0.500 0.500

ZnCuSb | PBE | relaxed

Output
Uncorrected formation energy   0.496 eV per formula unit
Space-group type   P3m1, No. 156

Unit cell a=4.140 b=4.140 c=3.874 alpha=90.00 beta=90.00 gamma=120.00
Fractional positions:
1 Zn 0.000 0.000 0.000
2 Cu 0.333 0.667 0.205
3 Sb 0.667 0.333 0.534

ZnCuSb2 | PBE | relaxed

Output
Uncorrected formation energy   0.338 eV per formula unit
Space-group type   Cm, No. 8

Unit cell a=8.137 b=3.771 c=6.190 alpha=90.00 beta=111.00 gamma=90.00
Fractional positions:
1 Zn 0.000 0.000 0.000
2 Zn 0.500 0.500 0.000
3 Cu 0.247 0.000 0.839
4 Cu 0.747 0.500 0.839
5 Sb 0.278 0.500 0.220
6 Sb 0.485 0.000 0.636
7 Sb 0.778 0.000 0.220
8 Sb 0.985 0.500 0.636

ZnCuSb2 | PBE | relaxed

Output
Uncorrected formation energy   1.508 eV per formula unit
Space-group type   F-43m, No. 216

Unit cell a=7.014 b=7.014 c=7.014 alpha=90.00 beta=90.00 gamma=90.00
Fractional positions:
1 Zn 0.000 0.000 0.000
2 Zn 0.000 0.500 0.500
3 Zn 0.500 0.000 0.500
4 Zn 0.500 0.500 0.000
5 Cu 0.250 0.250 0.750
6 Cu 0.250 0.750 0.250
7 Cu 0.750 0.250 0.250
8 Cu 0.750 0.750 0.750
9 Sb 0.000 0.000 0.500
10 Sb 0.000 0.500 0.000
11 Sb 0.250 0.250 0.250
12 Sb 0.250 0.750 0.750
13 Sb 0.500 0.000 0.000
14 Sb 0.500 0.500 0.500
15 Sb 0.750 0.250 0.750
16 Sb 0.750 0.750 0.250

ZnCuSb | PBE | relaxed

Output
Uncorrected formation energy   0.519 eV per formula unit
Space-group type   I4mm, No. 107

Unit cell a=3.829 b=3.829 c=7.702 alpha=90.00 beta=90.00 gamma=90.00
Fractional positions:
1 Zn 0.000 0.000 0.000
2 Zn 0.500 0.500 0.500
3 Cu 0.000 0.000 0.685
4 Cu 0.500 0.500 0.185
5 Sb 0.000 0.000 0.343
6 Sb 0.500 0.500 0.843

Zn2Cu2Sb | PBE | relaxed

Output
Relative energy among the computed polymorphs   55 meV per atom
Uncorrected formation energy   0.669 eV per formula unit
Space-group type   P4/mbm, No. 127

Unit cell a=7.598 b=7.598 c=2.815 alpha=90.00 beta=90.00 gamma=90.00
Fractional positions:
1 Zn 0.122 0.378 0.000
2 Zn 0.378 0.878 0.000
3 Zn 0.622 0.122 0.000
4 Zn 0.878 0.622 0.000
5 Cu 0.171 0.671 0.500
6 Cu 0.329 0.171 0.500
7 Cu 0.671 0.829 0.500
8 Cu 0.829 0.329 0.500
9 Sb 0.000 0.000 0.000
10 Sb 0.500 0.500 0.000

ZnCuSb | PBE | relaxed

Output
Uncorrected formation energy   0.597 eV per formula unit
Space-group type   I4mm, No. 107

Unit cell a=3.060 b=3.060 c=12.006 alpha=90.00 beta=90.00 gamma=90.00
Fractional positions:
1 Zn 0.000 0.000 0.000
2 Zn 0.500 0.500 0.500
3 Cu 0.000 0.000 0.382
4 Cu 0.500 0.500 0.882
5 Sb 0.000 0.000 0.713
6 Sb 0.500 0.500 0.213

ZrCuSb2 | PBE | relaxed

Output
Uncorrected formation energy   -0.182 eV per formula unit
Space-group type   Cmmm, No. 65

Unit cell a=4.079 b=5.305 c=8.112 alpha=90.00 beta=90.00 gamma=90.00
Fractional positions:
1 Zr 0.000 0.000 0.000
2 Zr 0.500 0.500 0.000
3 Cu 0.000 0.000 0.500
4 Cu 0.500 0.500 0.500
5 Sb 0.000 0.500 0.265
6 Sb 0.000 0.500 0.735
7 Sb 0.500 0.000 0.265
8 Sb 0.500 0.000 0.735

ZrCuSb2 | PBE | relaxed

Output
Uncorrected formation energy   -0.643 eV per formula unit
Space-group type   Imm2, No. 44

Unit cell a=4.063 b=4.133 c=10.119 alpha=90.00 beta=90.00 gamma=90.00
Fractional positions:
1 Zr 0.000 0.000 0.000
2 Zr 0.500 0.500 0.500
3 Cu 0.000 0.500 0.751
4 Cu 0.500 0.000 0.251
5 Sb 0.000 0.000 0.491
6 Sb 0.000 0.500 0.243
7 Sb 0.500 0.000 0.743
8 Sb 0.500 0.500 0.991

ZrCuSb | PBE | relaxed

Output
Uncorrected formation energy   -0.555 eV per formula unit
Space-group type   Imm2, No. 44

Unit cell a=3.105 b=3.820 c=9.939 alpha=90.00 beta=90.00 gamma=90.00
Fractional positions:
1 Zr 0.000 0.000 0.000
2 Zr 0.500 0.500 0.500
3 Cu 0.000 0.000 0.656
4 Cu 0.500 0.500 0.156
5 Sb 0.000 0.000 0.308
6 Sb 0.500 0.500 0.808

ZrCuSb | PBE | relaxed

Output
Uncorrected formation energy   -1.129 eV per formula unit
Space-group type   P3m1, No. 156

Unit cell a=4.227 b=4.227 c=3.836 alpha=90.00 beta=90.00 gamma=120.00
Fractional positions:
1 Zr 0.000 0.000 0.000
2 Cu 0.667 0.333 0.350
3 Sb 0.333 0.667 0.528

Zr4CuSb | PBE | relaxed

Output
Relative energy among the computed polymorphs   627 meV per atom
Uncorrected formation energy   1.951 eV per formula unit
Space-group type   F-43m, No. 216

Unit cell a=5.734 b=5.734 c=5.734 alpha=60.00 beta=60.00 gamma=60.00
Fractional positions:
1 Zr 0.125 0.125 0.125
2 Zr 0.125 0.125 0.625
3 Zr 0.125 0.625 0.125
4 Zr 0.625 0.125 0.125
5 Cu 0.750 0.750 0.750
6 Sb 0.500 0.500 0.500

ZrCuSb2 | PBE | relaxed

Output
Uncorrected formation energy   -0.223 eV per formula unit
Space-group type   I-42d, No. 122

Unit cell a=7.491 b=7.491 c=6.353 alpha=90.00 beta=90.00 gamma=90.00
Fractional positions:
1 Zr 0.000 0.000 0.000
2 Zr 0.000 0.500 0.250
3 Zr 0.500 0.000 0.750
4 Zr 0.500 0.500 0.500
5 Cu 0.000 0.000 0.500
6 Cu 0.000 0.500 0.750
7 Cu 0.500 0.000 0.250
8 Cu 0.500 0.500 0.000
9 Sb 0.208 0.250 0.625
10 Sb 0.250 0.708 0.875
11 Sb 0.250 0.792 0.375
12 Sb 0.292 0.250 0.125
13 Sb 0.708 0.750 0.125
14 Sb 0.750 0.208 0.375
15 Sb 0.750 0.292 0.875
16 Sb 0.792 0.750 0.625

Zr2Cu3Sb3 | PBE | relaxed

Output
Uncorrected formation energy   -1.770 eV per formula unit
Space-group type   P4mm, No. 99

Unit cell a=4.214 b=4.214 c=8.852 alpha=90.00 beta=90.00 gamma=90.00
Fractional positions:
1 Zr 0.000 0.000 0.000
2 Zr 0.500 0.500 0.495
3 Cu 0.000 0.500 0.213
4 Cu 0.500 0.000 0.213
5 Cu 0.500 0.500 0.061
6 Sb 0.000 0.000 0.395
7 Sb 0.000 0.500 0.753
8 Sb 0.500 0.000 0.753

Zr3CuSb2 | PBE | relaxed

Output
Uncorrected formation energy   -3.242 eV per formula unit
Space-group type   Pnma, No. 62

Unit cell a=11.571 b=4.084 c=10.789 alpha=90.00 beta=90.00 gamma=90.00
Fractional positions:
1 Zr 0.044 0.250 0.115
2 Zr 0.126 0.750 0.566
3 Zr 0.222 0.250 0.782
4 Zr 0.278 0.750 0.282
5 Zr 0.374 0.250 0.066
6 Zr 0.456 0.750 0.615
7 Zr 0.544 0.250 0.385
8 Zr 0.626 0.750 0.934
9 Zr 0.722 0.250 0.718
10 Zr 0.778 0.750 0.218
11 Zr 0.874 0.250 0.434
12 Zr 0.956 0.750 0.885
13 Cu 0.126 0.250 0.375
14 Cu 0.374 0.750 0.875
15 Cu 0.626 0.250 0.125
16 Cu 0.874 0.750 0.625
17 Sb 0.014 0.750 0.309
18 Sb 0.190 0.750 0.001
19 Sb 0.310 0.250 0.501
20 Sb 0.486 0.250 0.809
21 Sb 0.514 0.750 0.191
22 Sb 0.690 0.750 0.499
23 Sb 0.810 0.250 0.999
24 Sb 0.986 0.250 0.691

ZrCuSb2 | PBE | relaxed

Output
Uncorrected formation energy   -0.531 eV per formula unit
Space-group type   Cmm2, No. 35

Unit cell a=4.356 b=4.658 c=9.253 alpha=90.00 beta=90.00 gamma=90.00
Fractional positions:
1 Zr 0.000 0.000 0.000
2 Zr 0.500 0.500 0.000
3 Cu 0.000 0.500 0.188
4 Cu 0.500 0.000 0.188
5 Sb 0.000 0.000 0.368
6 Sb 0.000 0.500 0.756
7 Sb 0.500 0.000 0.756
8 Sb 0.500 0.500 0.368

ZrCuSb3 | PBE | relaxed

Output
Relative energy among the computed polymorphs   0 meV per atom
Uncorrected formation energy   2.267 eV per formula unit
Space-group type   Pm-3m, No. 221

Unit cell a=5.038 b=5.038 c=5.038 alpha=90.00 beta=90.00 gamma=90.00
Fractional positions:
1 Zr 0.000 0.000 0.000
2 Cu 0.500 0.500 0.500
3 Sb 0.000 0.500 0.500
4 Sb 0.500 0.000 0.500
5 Sb 0.500 0.500 0.000

ZrCuSb | PBE | relaxed

Output
Uncorrected formation energy   -0.561 eV per formula unit
Space-group type   Fmm2, No. 42

Unit cell a=4.312 b=5.289 c=10.421 alpha=90.00 beta=90.00 gamma=90.00
Fractional positions:
1 Zr 0.000 0.000 0.000
2 Zr 0.000 0.500 0.500
3 Zr 0.500 0.000 0.500
4 Zr 0.500 0.500 0.000
5 Cu 0.000 0.000 0.659
6 Cu 0.000 0.500 0.159
7 Cu 0.500 0.000 0.159
8 Cu 0.500 0.500 0.659
9 Sb 0.000 0.000 0.306
10 Sb 0.000 0.500 0.806
11 Sb 0.500 0.000 0.806
12 Sb 0.500 0.500 0.306

ZrCuSb2 | PBE | relaxed

Output
Uncorrected formation energy   -0.945 eV per formula unit
Space-group type   P4mm, No. 99

Unit cell a=3.882 b=3.882 c=5.820 alpha=90.00 beta=90.00 gamma=90.00
Fractional positions:
1 Zr 0.000 0.000 0.000
2 Cu 0.500 0.500 0.308
3 Sb 0.000 0.000 0.478
4 Sb 0.500 0.500 0.830

ZrCuSb2 | PBE | relaxed

Output
Uncorrected formation energy   -0.846 eV per formula unit
Space-group type   P2/m, No. 10

Unit cell a=3.714 b=3.707 c=6.079 alpha=90.00 beta=90.09 gamma=90.00
Fractional positions:
1 Zr 0.000 0.000 0.000
2 Cu 0.000 0.000 0.500
3 Sb 0.499 0.500 0.741
4 Sb 0.501 0.500 0.259

ZrCuSb2 | PBE | relaxed

Output
Uncorrected formation energy   -0.558 eV per formula unit
Space-group type   Immm, No. 71

Unit cell a=3.883 b=4.900 c=8.807 alpha=90.00 beta=90.00 gamma=90.00
Fractional positions:
1 Zr 0.000 0.000 0.000
2 Zr 0.500 0.500 0.500
3 Cu 0.000 0.000 0.500
4 Cu 0.500 0.500 0.000
5 Sb 0.000 0.500 0.232
6 Sb 0.000 0.500 0.768
7 Sb 0.500 0.000 0.268
8 Sb 0.500 0.000 0.732

Summary of DFT total energy in eV for the cell shown
-10.5, -25.5, -50.8, -28.1, -25.2, -25.0, -13.1, -28.7, -9.0, -26.6, -48.4, -17.9, -28.4, -17.8, -42.1, -43.1, -34.6, -17.9, -40.5, -84.4, -43.5, -164.9, -42.8, -22.7, -69.3, -21.8, -21.7, -42.9
(order as listed above)